# 1
Compound: Ba3Gd
Source: the Alexandria database
Functional: PBE-GGA
Structure: optimized geometry

Structure (POSCAR):
```
Ba3Gd
1.0
-0.1666 -1.4128 6.5309
5.6693 -1.3505 3.2729
2.4261 4.3784 4.4295
Ba Gd
3 1
Direct
0.0000 0.0000 0.0000
0.7500 0.7500 0.7500
0.2500 0.2500 0.2500
0.5000 0.5000 0.5000
```

energy of formation: 0.196 eV/atom
space group: No. 225
relative energy among the computed polymorphs: 0.040 eV/f.u.

# 2
Compound: Ba3Gd
Source: the Alexandria database
Functional: PBE-GGA
Structure: optimized geometry

Structure (POSCAR):
```
Ba3Gd
1.0
5.9660 0.0000 0.0000
0.0000 5.9660 0.0000
0.0000 0.0000 5.9660
Gd Ba
1 3
Direct
0.0000 0.0000 0.0000
0.0000 0.5000 0.5000
0.5000 0.0000 0.5000
0.5000 0.5000 0.0000
```

energy of formation: 0.208 eV/atom
space group: No. 221
relative energy among the computed polymorphs: 0.088 eV/f.u.

# 3
Compound: BaGd2
Source: the Alexandria database
Functional: PBE-GGA
Structure: optimized geometry

Structure (POSCAR):
```
BaGd2
1.0
7.1320 0.0000 0.0000
3.5660 6.1765 0.0000
3.5660 2.0588 5.8233
Gd Ba
4 2
Direct
0.6250 0.6250 0.6250
0.6250 0.1250 0.6250
0.1250 0.6250 0.6250
0.6250 0.6250 0.1250
0.0000 0.0000 0.0000
0.2500 0.2500 0.2500
```

energy of formation: 0.275 eV/atom
space group: No. 227
relative energy among the computed polymorphs: 0.366 eV/f.u.

# 4
Compound: BaGdH3
Source: the Alexandria database
Functional: PBE-GGA
Structure: optimized geometry

Structure (POSCAR):
```
BaGdH3
1.0
-4.2359 1.3116 0.4330
-1.2251 -4.2127 0.7761
0.6379 0.6188 4.3658
H Gd Ba
3 1 1
Direct
0.0000 0.5000 0.0000
0.5000 0.0000 0.0000
0.0000 0.0000 0.5000
0.0000 0.0000 0.0000
0.5000 0.5000 0.5000
```

space group: No. 221

# 5
Compound: Ba2GdH4
Source: the Alexandria database
Functional: PBE-GGA
Structure: optimized geometry

Structure (POSCAR):
```
Ba2GdH4
1.0
4.3614 0.0000 0.0000
0.0000 4.3614 0.0000
2.1807 2.1807 7.3458
Ba H Gd
2 4 1
Direct
0.6541 0.6541 0.6918
0.3459 0.3459 0.3082
0.1570 0.1570 0.6860
0.8430 0.8430 0.3140
0.5000 0.0000 0.0000
0.0000 0.5000 0.0000
0.0000 0.0000 0.0000
```

space group: No. 139

# 6
Compound: BaGdHg2
Source: the Alexandria database
Functional: PBE-GGA
Structure: optimized geometry

Structure (POSCAR):
```
BaGdHg2
1.0
3.9175 0.0000 0.0000
0.0000 3.9175 0.0000
0.0000 0.0000 8.1117
Ba Hg Gd
1 2 1
Direct
0.5000 0.5000 0.5000
0.0000 0.0000 0.2084
0.0000 0.0000 0.7916
0.5000 0.5000 0.0000
```

energy of formation: -0.488 eV/atom
space group: No. 123

no.,E (eV per atom)
1,-4.766
2,-4.754
3,-9.753
4,-5.567
5,-4.808
6,-4.640